Entry 1:
Material: ZnInAg4
Method: DFT, PBE
State: relaxed

Cell lengths 5.5296, 5.5296, 5.5296 Å; angles 60.00, 60.00, 60.00 degrees
Positions (direct):
Zn (0.0000, 0.0000, 0.0000)
In (0.2500, 0.2500, 0.2500)
Ag (0.1245, 0.6252, 0.6252)
Ag (0.6252, 0.1245, 0.6252)
Ag (0.6252, 0.6252, 0.1245)
Ag (0.6252, 0.6252, 0.6252)

Properties
distance to the lowest polymorph of the same formula: 0.1283 eV per atom

***

Entry 2:
Material: Li5AgPd2
Method: DFT, PBE
State: relaxed

Cell lengths 5.6559, 5.6559, 7.3993 Å; angles 90.00, 90.00, 90.00 degrees
Positions (direct):
Li (0.0000, 0.0000, 0.0000)
Li (0.2500, 0.2500, 0.2500)
Li (0.2500, 0.2500, 0.7500)
Li (0.2500, 0.7500, 0.2500)
Li (0.2500, 0.7500, 0.7500)
Li (0.5000, 0.5000, 0.5000)
Li (0.7500, 0.2500, 0.2500)
Li (0.7500, 0.2500, 0.7500)
Li (0.7500, 0.7500, 0.2500)
Li (0.7500, 0.7500, 0.7500)
Ag (0.0000, 0.0000, 0.5000)
Ag (0.5000, 0.5000, 0.0000)
Pd (0.0000, 0.5000, 0.0000)
Pd (0.0000, 0.5000, 0.5000)
Pd (0.5000, 0.0000, 0.0000)
Pd (0.5000, 0.0000, 0.5000)

Properties
distance to the lowest polymorph of the same formula: 0.0044 eV per atom

***

Entry 3:
Material: La3Pm2Tl2
Method: DFT, PBE
State: relaxed

Cell lengths 8.9681, 5.8559, 9.3275 Å; angles 90.00, 95.96, 90.00 degrees
Positions (direct):
La (0.0000, 0.0000, 0.0000)
La (0.1822, 0.5000, 0.6059)
La (0.3178, 0.0000, 0.3941)
La (0.5000, 0.5000, 0.0000)
La (0.6822, 0.0000, 0.6059)
La (0.8178, 0.5000, 0.3941)
Pm (0.1199, 0.5000, 0.1667)
Pm (0.3801, 0.0000, 0.8333)
Pm (0.6199, 0.0000, 0.1667)
Pm (0.8801, 0.5000, 0.8333)
Tl (0.0399, 0.0000, 0.6635)
Tl (0.4601, 0.5000, 0.3365)
Tl (0.5399, 0.5000, 0.6635)
Tl (0.9601, 0.0000, 0.3365)

Properties
distance to the lowest polymorph of the same formula: 0.1316 eV per atom

***

| no. | E_form (meV per atom) | total magnetic moment (μB/atom) |
| --- | --- | --- |
| 1 | 118 | 0.000 |
| 2 | -309 | 0.000 |
| 3 | -74 | 0.000 |